{"formula": "LiNbSeO", "functional": "PBE", "state": "relaxed", "lattice": [[5.124, 0.000, 0.000], [0.000, 5.675, 0.000], [-0.715, 0.000, 9.939]], "species": ["Li", "Li", "Li", "Li", "Nb", "Nb", "Nb", "Nb", "Se", "Se", "Se", "Se", "O", "O", "O", "O"], "frac_coords": [[0.092, 0.000, 0.253], [0.357, 0.190, 0.017], [0.643, 0.690, 0.983], [0.908, 0.500, 0.747], [0.026, 0.527, 0.435], [0.449, 0.608, 0.588], [0.551, 0.108, 0.412], [0.974, 0.027, 0.565], [0.290, 0.419, 0.236], [0.358, 0.451, 0.828], [0.642, 0.951, 0.172], [0.710, 0.919, 0.764], [0.227, 0.862, 0.434], [0.274, 0.273, 0.542], [0.726, 0.773, 0.458], [0.773, 0.362, 0.566]], "relative_energy_ev_per_fu": 0.79, "total_energy_ev_per_atom": -6.39, "magnetic_moment_mub_per_fu": 0.001}

{"formula": "LiNbSeO", "functional": "PBE", "state": "relaxed", "lattice": [[3.171, 0.000, 0.000], [-1.585, 2.746, 0.000], [0.000, 0.000, 12.729]], "species": ["Li", "Li", "Nb", "Nb", "Se", "Se", "O", "O"], "frac_coords": [[0.000, 0.000, 0.000], [0.000, 0.000, 0.500], [0.000, 0.000, 0.293], [0.000, 0.000, 0.793], [0.333, 0.667, 0.153], [0.667, 0.333, 0.653], [0.333, 0.667, 0.398], [0.667, 0.333, 0.898]], "relative_energy_ev_per_fu": 0.00, "total_energy_ev_per_atom": -6.59, "magnetic_moment_mub_per_fu": 0.003}

{"formula": "LiNbSeO", "functional": "PBE", "state": "relaxed", "lattice": [[3.184, 0.000, 0.000], [-1.592, 2.757, 0.000], [0.000, 0.000, 12.646]], "species": ["Li", "Li", "Nb", "Nb", "Se", "Se", "O", "O"], "frac_coords": [[0.000, 0.000, 0.000], [0.000, 0.000, 0.500], [0.000, 0.000, 0.214], [0.000, 0.000, 0.786], [0.333, 0.667, 0.645], [0.667, 0.333, 0.355], [0.333, 0.667, 0.888], [0.667, 0.333, 0.112]], "relative_energy_ev_per_fu": 0.03, "total_energy_ev_per_atom": -6.58, "magnetic_moment_mub_per_fu": 0.000}

{"formula": "LiNbSeO", "functional": "PBE", "state": "relaxed", "lattice": [[3.337, 0.000, 0.000], [0.000, 6.550, 0.000], [0.000, 0.000, 5.878]], "species": ["Li", "Li", "Nb", "Nb", "Se", "Se", "O", "O"], "frac_coords": [[0.000, 0.135, 0.000], [0.000, 0.865, 0.500], [0.500, 0.498, 0.279], [0.500, 0.502, 0.779], [0.000, 0.260, 0.530], [0.000, 0.740, 0.030], [0.500, 0.277, 0.029], [0.500, 0.723, 0.529]], "relative_energy_ev_per_fu": 0.08, "total_energy_ev_per_atom": -6.57, "magnetic_moment_mub_per_fu": 0.083}

{"formula": "Li4TaNbO6", "functional": "PBE", "state": "relaxed", "lattice": [[2.606, -4.430, 0.000], [2.606, 4.430, 0.000], [-1.627, 0.000, 4.946]], "species": ["Li", "Li", "Li", "Li", "Ta", "Nb", "O", "O", "O", "O", "O", "O"], "frac_coords": [[0.000, 0.000, 0.000], [0.344, 0.656, 0.000], [0.684, 0.316, 0.000], [0.842, 0.158, 0.500], [0.491, 0.509, 0.500], [0.190, 0.810, 0.500], [0.088, 0.399, 0.234], [0.278, 0.254, 0.732], [0.409, 0.076, 0.271], [0.601, 0.912, 0.766], [0.746, 0.722, 0.268], [0.924, 0.591, 0.729]], "total_energy_ev_per_atom": -7.27, "magnetic_moment_mub_per_fu": 0.004}

{"formula": "Li3Nb3Te2O12", "functional": "PBE", "state": "relaxed", "lattice": [[-6.013, 6.013, 6.013], [6.013, -6.013, 6.013], [6.013, 6.013, -6.013]], "species": ["Li", "Li", "Li", "Li", "Li", "Li", "Li", "Li", "Li", "Li", "Li", "Li", "Nb", "Nb", "Nb", "Nb", "Nb", "Nb", "Nb", "Nb", "Nb", "Nb", "Nb", "Nb", "Te", "Te", "Te", "Te", "Te", "Te", "Te", "Te", "O", "O", "O", "O", "O", "O", "O", "O", "O", "O", "O", "O", "O", "O", "O", "O", "O", "O", "O", "O", "O", "O", "O", "O", "O", "O", "O", "O", "O", "O", "O", "O", "O", "O", "O", "O", "O", "O", "O", "O", "O", "O", "O", "O", "O", "O", "O", "O"], "frac_coords": [[0.125, 0.750, 0.875], [0.125, 0.875, 0.250], [0.250, 0.125, 0.875], [0.250, 0.625, 0.375], [0.375, 0.250, 0.625], [0.375, 0.625, 0.750], [0.625, 0.375, 0.250], [0.625, 0.750, 0.375], [0.750, 0.375, 0.625], [0.750, 0.875, 0.125], [0.875, 0.125, 0.750], [0.875, 0.250, 0.125], [0.125, 0.250, 0.375], [0.125, 0.375, 0.750], [0.250, 0.375, 0.125], [0.250, 0.875, 0.625], [0.375, 0.125, 0.250], [0.375, 0.750, 0.125], [0.625, 0.250, 0.875], [0.625, 0.875, 0.750], [0.750, 0.125, 0.375], [0.750, 0.625, 0.875], [0.875, 0.625, 0.250], [0.875, 0.750, 0.625], [0.000, 0.000, 0.000], [0.000, 0.000, 0.500], [0.000, 0.500, 0.000], [0.000, 0.500, 0.500], [0.500, 0.000, 0.000], [0.500, 0.000, 0.500], [0.500, 0.500, 0.000], [0.500, 0.500, 0.500], [0.047, 0.228, 0.135], [0.047, 0.319, 0.913], [0.087, 0.635, 0.406], [0.087, 0.953, 0.681], [0.094, 0.728, 0.681], [0.094, 0.865, 0.413], [0.135, 0.047, 0.228], [0.135, 0.587, 0.906], [0.181, 0.228, 0.594], [0.181, 0.453, 0.587], [0.228, 0.135, 0.047], [0.228, 0.594, 0.181], [0.272, 0.319, 0.906], [0.272, 0.453, 0.365], [0.319, 0.906, 0.272], [0.319, 0.913, 0.047], [0.365, 0.272, 0.453], [0.365, 0.594, 0.913], [0.406, 0.087, 0.635], [0.406, 0.819, 0.772], [0.413, 0.094, 0.865], [0.413, 0.819, 0.547], [0.453, 0.365, 0.272], [0.453, 0.587, 0.181], [0.547, 0.413, 0.819], [0.547, 0.635, 0.728], [0.587, 0.181, 0.453], [0.587, 0.906, 0.135], [0.594, 0.181, 0.228], [0.594, 0.913, 0.365], [0.635, 0.406, 0.087], [0.635, 0.728, 0.547], [0.681, 0.087, 0.953], [0.681, 0.094, 0.728], [0.728, 0.547, 0.635], [0.728, 0.681, 0.094], [0.772, 0.406, 0.819], [0.772, 0.865, 0.953], [0.819, 0.547, 0.413], [0.819, 0.772, 0.406], [0.865, 0.413, 0.094], [0.865, 0.953, 0.772], [0.906, 0.135, 0.587], [0.906, 0.272, 0.319], [0.913, 0.047, 0.319], [0.913, 0.365, 0.594], [0.953, 0.681, 0.087], [0.953, 0.772, 0.865]], "total_energy_ev_per_atom": -6.78, "magnetic_moment_mub_per_fu": 2.383}

{"formula": "Li2NbTeO6", "functional": "PBE", "state": "relaxed", "lattice": [[4.899, 0.000, 0.000], [0.000, 5.250, 0.000], [0.000, 0.000, 8.605]], "species": ["Li", "Li", "Li", "Li", "Nb", "Nb", "Te", "Te", "O", "O", "O", "O", "O", "O", "O", "O", "O", "O", "O", "O"], "frac_coords": [[0.000, 0.000, 0.000], [0.000, 0.500, 0.398], [0.500, 0.000, 0.898], [0.500, 0.500, 0.500], [0.000, 0.500, 0.797], [0.500, 0.000, 0.297], [0.000, 0.000, 0.606], [0.500, 0.500, 0.106], [0.207, 0.329, 0.614], [0.212, 0.829, 0.779], [0.248, 0.834, 0.446], [0.252, 0.334, 0.946], [0.288, 0.329, 0.279], [0.293, 0.829, 0.114], [0.707, 0.171, 0.114], [0.712, 0.671, 0.279], [0.748, 0.666, 0.946], [0.752, 0.166, 0.446], [0.788, 0.171, 0.779], [0.793, 0.671, 0.614]], "total_energy_ev_per_atom": -6.51, "magnetic_moment_mub_per_fu": 0.007}

{"formula": "Li3Y2Nb3O12", "functional": "PBE", "state": "relaxed", "lattice": [[-6.012, 6.012, 6.012], [6.012, -6.012, 6.012], [6.012, 6.012, -6.012]], "species": ["Li", "Li", "Li", "Li", "Li", "Li", "Li", "Li", "Li", "Li", "Li", "Li", "Y", "Y", "Y", "Y", "Y", "Y", "Y", "Y", "Nb", "Nb", "Nb", "Nb", "Nb", "Nb", "Nb", "Nb", "Nb", "Nb", "Nb", "Nb", "O", "O", "O", "O", "O", "O", "O", "O", "O", "O", "O", "O", "O", "O", "O", "O", "O", "O", "O", "O", "O", "O", "O", "O", "O", "O", "O", "O", "O", "O", "O", "O", "O", "O", "O", "O", "O", "O", "O", "O", "O", "O", "O", "O", "O", "O", "O", "O"], "frac_coords": [[0.125, 0.750, 0.875], [0.125, 0.875, 0.250], [0.250, 0.125, 0.875], [0.250, 0.625, 0.375], [0.375, 0.250, 0.625], [0.375, 0.625, 0.750], [0.625, 0.375, 0.250], [0.625, 0.750, 0.375], [0.750, 0.375, 0.625], [0.750, 0.875, 0.125], [0.875, 0.125, 0.750], [0.875, 0.250, 0.125], [0.000, 0.000, 0.000], [0.000, 0.000, 0.500], [0.000, 0.500, 0.000], [0.000, 0.500, 0.500], [0.500, 0.000, 0.000], [0.500, 0.000, 0.500], [0.500, 0.500, 0.000], [0.500, 0.500, 0.500], [0.125, 0.250, 0.375], [0.125, 0.375, 0.750], [0.250, 0.375, 0.125], [0.250, 0.875, 0.625], [0.375, 0.125, 0.250], [0.375, 0.750, 0.125], [0.625, 0.250, 0.875], [0.625, 0.875, 0.750], [0.750, 0.125, 0.375], [0.750, 0.625, 0.875], [0.875, 0.625, 0.250], [0.875, 0.750, 0.625], [0.053, 0.240, 0.134], [0.053, 0.313, 0.919], [0.081, 0.634, 0.394], [0.081, 0.947, 0.687], [0.106, 0.740, 0.687], [0.106, 0.866, 0.419], [0.134, 0.053, 0.240], [0.134, 0.581, 0.894], [0.187, 0.240, 0.606], [0.187, 0.447, 0.581], [0.240, 0.134, 0.053], [0.240, 0.606, 0.187], [0.260, 0.313, 0.894], [0.260, 0.447, 0.366], [0.313, 0.894, 0.260], [0.313, 0.919, 0.053], [0.366, 0.260, 0.447], [0.366, 0.606, 0.919], [0.394, 0.081, 0.634], [0.394, 0.813, 0.760], [0.419, 0.106, 0.866], [0.419, 0.813, 0.553], [0.447, 0.366, 0.260], [0.447, 0.581, 0.187], [0.553, 0.419, 0.813], [0.553, 0.634, 0.740], [0.581, 0.187, 0.447], [0.581, 0.894, 0.134], [0.606, 0.187, 0.240], [0.606, 0.919, 0.366], [0.634, 0.394, 0.081], [0.634, 0.740, 0.553], [0.687, 0.081, 0.947], [0.687, 0.106, 0.740], [0.740, 0.553, 0.634], [0.740, 0.687, 0.106], [0.760, 0.394, 0.813], [0.760, 0.866, 0.947], [0.813, 0.553, 0.419], [0.813, 0.760, 0.394], [0.866, 0.419, 0.106], [0.866, 0.947, 0.760], [0.894, 0.134, 0.581], [0.894, 0.260, 0.313], [0.919, 0.053, 0.313], [0.919, 0.366, 0.606], [0.947, 0.687, 0.081], [0.947, 0.760, 0.866]], "total_energy_ev_per_atom": -7.77, "magnetic_moment_mub_per_fu": 0.000}